Compound: CaAg3Te3
Source: Alexandria via LeMat-Bulk
Functional: GGA-PBE
Structure: optimized geometry

a = 7.8775 Å, b = 7.8775 Å, c = 22.2584 Å
α = 90.00°, β = 90.00°, γ = 120.00°
Space group R-3 (No. 148, hexagonal axes)
One atom of each set of equivalent atoms:
Ca: 0.0000 0.0000 0.1662 x6
Ag: 0.0005 0.6482 0.6270 x18
Te: 0.0009 0.6807 0.4231 x18

Magnetization   0.00 μB/f.u.
ΔE_f (raw)   -0.467 eV/atom
Total DFT energy (no corrections)   -139.49 eV per cell
DOS(E_F)   3.70 states/eV/f.u.
Crystal system   trigonal

Compound: ScCo2Te
Source: Alexandria via LeMat-Bulk
Functional: GGA-PBE
Structure: optimized geometry

a = 6.220 Å, b = 6.220 Å, c = 6.220 Å
α = 90.00°, β = 90.00°, γ = 90.00°
Space group Fm-3m (No. 225)
One atom of each set of equivalent atoms:
Sc: 0.000 0.000 0.000 x4
Co: 0.250 0.250 0.250 x8
Te: 0.000 0.000 0.500 x4

Magnetization   1.09 μB/f.u.
ΔE_f (raw)   -0.188 eV/atom
Total DFT energy (no corrections)   -97.75 eV per cell
DOS(E_F)   6.29 states/eV/f.u.
Crystal system   cubic

Compound: Gd2TmTl
Source: Alexandria via LeMat-Bulk
Functional: GGA-PBE
Structure: optimized geometry

a = 4.832 Å, b = 4.832 Å, c = 4.893 Å
α = 90.00°, β = 90.00°, γ = 90.00°
Space group P4/mmm (No. 123)
One atom of each set of equivalent atoms:
Gd: 0.000 0.500 0.000 x2
Tm: 0.000 0.000 0.500 x1
Tl: 0.500 0.500 0.500 x1

Magnetization   15.62 μB/f.u.
Total DFT energy (no corrections)   -35.84 eV per cell
DOS(E_F)   3.58 states/eV/f.u.
Crystal system   tetragonal

Compound: HfIr2Cl
Source: Alexandria via LeMat-Bulk
Functional: GGA-PBE
Structure: optimized geometry

a = 6.491 Å, b = 6.491 Å, c = 6.491 Å
α = 90.00°, β = 90.00°, γ = 90.00°
Space group Fm-3m (No. 225)
One atom of each set of equivalent atoms:
Hf: 0.000 0.000 0.000 x4
Ir: 0.250 0.250 0.250 x8
Cl: 0.000 0.000 0.500 x4

Magnetization   0.00 μB/f.u.
ΔE_f (raw)   0.277 eV/atom
Total DFT energy (no corrections)   -113.65 eV per cell
DOS(E_F)   5.99 states/eV/f.u.
Crystal system   cubic

Compound: NbSiN2
Source: Alexandria via LeMat-Bulk
Functional: GGA-PBE
Structure: optimized geometry

a = 2.9098 Å, b = 2.9098 Å, c = 18.1210 Å
α = 90.00°, β = 90.00°, γ = 120.00°
Space group R-3m (No. 166, hexagonal axes)
One atom of each set of equivalent atoms:
Nb: 0.0000 0.0000 0.0000 x3
Si: 0.0000 0.0000 0.5000 x3
N: 0.0000 0.0000 0.1135 x6

Magnetization   0.00 μB/f.u.
ΔE_f (raw)   -0.268 eV/atom
Total DFT energy (no corrections)   -99.65 eV per cell
DOS(E_F)   1.92 states/eV/f.u.
Crystal system   trigonal

Compound: Y4Tl3Ir
Source: Alexandria via LeMat-Bulk
Functional: GGA-PBE
Structure: optimized geometry

a = 3.586 Å, b = 3.586 Å, c = 15.939 Å
α = 90.00°, β = 90.00°, γ = 90.00°
Space group P4/mmm (No. 123)
One atom of each set of equivalent atoms:
Y: 0.000 0.000 0.102 x2
Y: 0.000 0.000 0.368 x2
Tl: 0.500 0.500 0.239 x2
Tl: 0.500 0.500 0.500 x1
Ir: 0.500 0.500 0.000 x1

Magnetization   0.24 μB/f.u.
Total DFT energy (no corrections)   -45.76 eV per cell
DOS(E_F)   4.33 states/eV/f.u.
Crystal system   tetragonal

Compound: LiTh2Al3
Source: Alexandria via LeMat-Bulk
Functional: GGA-PBE
Structure: optimized geometry

a = 13.771 Å, b = 8.919 Å, c = 4.926 Å
α = 90.00°, β = 90.00°, γ = 90.00°
Space group Cmcm (No. 63)
One atom of each set of equivalent atoms:
Li: 0.000 0.087 0.250 x4
Th: 0.143 0.320 0.750 x8
Al: 0.000 0.402 0.250 x4
Al: 0.175 0.000 0.000 x8

Magnetization   0.00 μB/f.u.
Total DFT energy (no corrections)   -111.55 eV per cell
DOS(E_F)   5.48 states/eV/f.u.
Crystal system   orthorhombic

Compound: Ce8In2Ru3
Source: Alexandria via LeMat-Bulk
Functional: GGA-PBE
Structure: optimized geometry

a = 16.851 Å, b = 6.769 Å, c = 6.034 Å
α = 90.00°, β = 91.69°, γ = 90.00°
Space group C2/m (No. 12)
One atom of each set of equivalent atoms:
Ce: 0.087 0.000 0.392 x4
Ce: 0.100 0.214 0.897 x8
Ce: 0.159 0.500 0.351 x4
In: 0.249 0.500 0.847 x4
Ru: 0.000 0.299 0.500 x4
Ru: 0.000 0.500 0.000 x2

Magnetization   3.57 μB/f.u.
Total DFT energy (no corrections)   -164.47 eV per cell
DOS(E_F)   32.80 states/eV/f.u.
Crystal system   monoclinic

Compound: Cs2KZnPt
Source: Alexandria via LeMat-Bulk
Functional: GGA-PBE
Structure: optimized geometry

a = 7.011 Å, b = 7.011 Å, c = 4.960 Å
α = 90.00°, β = 90.00°, γ = 90.00°
Space group P4/mmm (No. 123)
One atom of each set of equivalent atoms:
Cs: 0.000 0.500 0.000 x2
K: 0.000 0.000 0.500 x1
Zn: 0.500 0.500 0.500 x1
Pt: 0.500 0.500 0.000 x1

Magnetization   0.00 μB/f.u.
Total DFT energy (no corrections)   -10.08 eV per cell
DOS(E_F)   2.44 states/eV/f.u.
Crystal system   tetragonal

Compound: La2MnTe
Source: Alexandria via LeMat-Bulk
Functional: GGA-PBE
Structure: optimized geometry

a = 3.948 Å, b = 3.948 Å, c = 7.488 Å
α = 90.00°, β = 90.00°, γ = 90.00°
Space group P4/mmm (No. 123)
One atom of each set of equivalent atoms:
La: 0.000 0.000 0.243 x2
Mn: 0.500 0.500 0.000 x1
Te: 0.500 0.500 0.500 x1

Magnetization   2.99 μB/f.u.
ΔE_f (raw)   -0.469 eV/atom
Total DFT energy (no corrections)   -24.04 eV per cell
DOS(E_F)   4.12 states/eV/f.u.
Crystal system   tetragonal

Compound: AgPd2S
Source: Alexandria via LeMat-Bulk
Functional: GGA-PBE
Structure: optimized geometry

a = 3.0685 Å, b = 3.0685 Å, c = 23.8915 Å
α = 90.00°, β = 90.00°, γ = 120.00°
Space group R-3m (No. 166, hexagonal axes)
One atom of each set of equivalent atoms:
Ag: 0.0000 0.0000 0.0000 x3
Pd: 0.0000 0.0000 0.2392 x6
S: 0.0000 0.0000 0.5000 x3

Magnetization   0.00 μB/f.u.
ΔE_f (raw)   -0.016 eV/atom
Total DFT energy (no corrections)   -52.29 eV per cell
DOS(E_F)   1.89 states/eV/f.u.
Crystal system   trigonal